# 1
The following is a PBE calculation of a relaxed structure of CeMgAs2Pd2, from Alexandria via LeMat-Bulk.

a b c (Å): 4.3117 4.3117 7.0017
angles (deg): 90.00 90.00 120.00
Element x y z (fractional)
Ce 0.0000 0.0000 0.0000
Mg 0.0000 0.0000 0.5000
As 0.3333 0.6667 0.2386
As 0.6667 0.3333 0.7614
Pd 0.3333 0.6667 0.6702
Pd 0.6667 0.3333 0.3298

Calculated values
For the formation energy, the calculation gives -0.92 eV per atom. For the total magnetization, the calculation gives 0.03 μB per atom. Its total DFT energy (no corrections) is -0.2004 hartree per atom.

# 2
The following is a PBE calculation of a relaxed structure of CsNdPaSe4, from Alexandria via LeMat-Bulk.

a b c (Å): 9.0524 9.0524 9.0524
angles (deg): 120.36 117.55 91.83
Element x y z (fractional)
Cs 0.3842 0.1342 0.2500
Cs 0.6158 0.8658 0.7500
Nd 0.0000 0.5000 0.5000
Nd 0.5000 0.5000 0.0000
Pa 0.0000 0.0000 0.5000
Pa 0.0000 0.5000 0.0000
Se 0.1802 0.7361 0.4441
Se 0.2080 0.2639 0.9441
Se 0.2255 0.2672 0.5417
Se 0.2255 0.6838 0.9583
Se 0.7745 0.3162 0.0417
Se 0.7745 0.7328 0.4583
Se 0.7920 0.7361 0.0559
Se 0.8198 0.2639 0.5559

Calculated values
For the total magnetization, the calculation gives 0.15 μB per atom. As for the formation energy without anion corrections: -1.48 eV/atom. Its total DFT energy (no corrections) is -0.2068 hartree per atom.